1.
# PBE-GGA RbSrTi2Tc, relaxed
# formation enthalpy at 0 K = 2.3243 eV per atom
data_RbSrTi2Tc
_space_group_name_H-M_alt 'P 4/m m m'
_space_group_IT_number 123
_space_group_name_Hall '-P 4 2'
_cell_length_a 4.8183
_cell_length_b 4.8183
_cell_length_c 5.4717
_cell_angle_alpha 90.00
_cell_angle_beta 90.00
_cell_angle_gamma 90.00
loop_
_atom_site_label
_atom_site_fract_x
_atom_site_fract_y
_atom_site_fract_z
Rb1 0.0000 0.0000 0.0000
Sr1 0.0000 0.0000 0.5000
Ti1 0.0000 0.5000 0.0000
Tc1 0.5000 0.5000 0.5000


2.
# PBE-GGA RbSr3Te, relaxed
# formation energy (no corrections) = -2.12 eV/f.u.
data_RbSr3Te
_space_group_name_H-M_alt 'P m -3 m'
_space_group_IT_number 221
_space_group_name_Hall '-P 4 2 3'
_cell_length_a 6.6023
_cell_length_b 6.6023
_cell_length_c 6.6023
_cell_angle_alpha 90.00
_cell_angle_beta 90.00
_cell_angle_gamma 90.00
loop_
_atom_site_label
_atom_site_fract_x
_atom_site_fract_y
_atom_site_fract_z
Rb1 0.0000 0.0000 0.0000
Sr1 0.0000 0.5000 0.5000
Te1 0.5000 0.5000 0.5000